Here is BiI2OF after structural relaxation from the Alexandria database. Energies are from PBE.

```
5
Lattice="5.3790 0.0000 0.0000 0.0000 5.3790 0.0000 0.0000 0.0000 4.0021" Properties=species:S:1:pos:R:3 pbc="T T T"
Bi 0.0000 0.0000 0.0000
I 0.0000 2.6895 2.0011
I 2.6895 0.0000 2.0011
O 2.6895 2.6895 0.0000
F 2.6895 2.6895 2.0011
```

Values from the calculation:
The value obtained for the raw formation energy is 439 meV/atom.



Here is Pm8Nd3Dy3 after structural relaxation from the Alexandria database. Energies are from PBE.

```
14
Lattice="-2.8738 5.4735 7.6448 2.8738 -5.4735 7.6448 2.8738 5.4735 -7.6448" Properties=species:S:1:pos:R:3 pbc="T T T"
Pm 2.8738 1.7663 -1.5767
Pm 2.8738 3.7264 -4.2591
Pm 2.8738 1.7663 1.5767
Pm 0.0000 1.7470 3.3857
Pm 2.8738 3.7264 4.2591
Pm 0.0000 3.7072 6.0681
Pm 0.0000 1.7470 11.9039
Pm 0.0000 3.7072 9.2214
Nd 2.8738 0.0000 4.8856
Nd 0.0000 0.0000 7.6448
Nd 0.0000 5.4735 2.7591
Dy 0.0000 0.0000 0.0000
Dy 0.0000 3.2700 0.0000
Dy 0.0000 7.6770 0.0000
```

Values from the calculation:
For the calculated formation energy, the calculation gives 99 meV per atom.



Here is Zr2GaW after structural relaxation from the Alexandria database. Energies are from PBE.

```
4
Lattice="3.4508 0.0000 0.0000 0.0000 3.4508 0.0000 0.0000 0.0000 6.4123" Properties=species:S:1:pos:R:3 pbc="T T T"
Zr 0.0000 0.0000 1.5670
Zr 0.0000 0.0000 4.8453
Ga 1.7254 1.7254 3.2061
W 1.7254 1.7254 0.0000
```

Values from the calculation:
For the calculated formation energy, the calculation gives -247 meV per atom.



Here is BePbBr2 after structural relaxation from the Alexandria database. Energies are from PBE.

```
4
Lattice="3.4559 0.0000 0.0000 0.0000 3.4559 0.0000 0.0000 0.0000 8.8461" Properties=species:S:1:pos:R:3 pbc="T T T"
Be 0.0000 0.0000 0.0000
Pb 1.7279 1.7279 4.8513
Br 0.0000 0.0000 2.0472
Br 1.7279 1.7279 8.0570
```

Values from the calculation:
The value obtained for the raw formation energy is -202 meV/atom.



Number 1: VASP energy -11.61 eV per cell. Number 2: VASP energy -64.73 eV per cell. Number 3: VASP energy -34.07 eV per cell. Number 4: VASP energy -11.59 eV per cell.